<i>
This record from Alexandria via LeMat-Bulk describes an optimized crystal structure of ZrScSN2. The functional is PBE.

Cell and atoms, written as POSCAR:
```
ZrScSN2
1.0
4.011 0.000 0.000
0.000 4.011 0.000
0.000 0.000 4.855
S N Sc Zr
1 2 1 1
direct
0.000 0.000 0.500
0.500 0.000 0.000
0.000 0.500 0.000
0.000 0.000 0.000
0.500 0.500 0.500
```



<ii>
This record from Alexandria via LeMat-Bulk describes an optimized crystal structure of ZrScSN2. The functional is PBE.

Cell and atoms, written as POSCAR:
```
ZrScSN2
1.0
4.115 0.000 0.000
0.000 4.115 0.000
0.000 0.000 5.087
N Sc Zr S
2 1 1 1
direct
0.500 0.000 0.000
0.000 0.500 0.000
0.500 0.500 0.500
0.000 0.000 0.000
0.000 0.000 0.500
```



Stability verdict: <ii>, ahead by 30.6 kJ/mol of atoms